No. 1
DFT (PBE-GGA) results for crystalline AcNd2Ga at its relaxed geometry.

Structure (extended XYZ):
```
4
Lattice="3.715 0.000 0.000 0.000 3.715 0.000 0.000 0.000 9.323" Properties=species:S:1:pos:R:3 pbc="T T T"
Ac 0.000 0.000 0.000
Nd 1.858 1.858 2.799
Nd 1.858 1.858 6.524
Ga 0.000 0.000 4.661
```

## Properties
symmetry	P4/mmm (123)
calculated formation energy	-1.0	eV/f.u.
calculated total energy	-17.6	eV for the cell shown
V	32.18	Å³ per atom
excess energy over the best structure of this formula in the dataset	0	meV per atom

No. 2
DFT (PBE-GGA) results for crystalline Er3Cu2Rh at its relaxed geometry.

Structure (extended XYZ):
```
6
Lattice="3.430 0.000 0.000 0.000 3.430 0.000 0.000 0.000 10.285" Properties=species:S:1:pos:R:3 pbc="T T T"
Er 0.000 0.000 0.000
Er 0.000 0.000 3.480
Er 0.000 0.000 6.805
Cu 1.715 1.715 1.725
Cu 1.715 1.715 8.560
Rh 1.715 1.715 5.142
```

## Properties
symmetry	P4/mmm (123)
calculated formation energy	-3.0	eV/f.u.
calculated total energy	-32.2	eV for the cell shown
V	20.16	Å³ per atom
excess energy over the best structure of this formula in the dataset	7	meV per atom